# SrFe2TeO6

Crystalline SrFe2TeO6 at its relaxed geometry (PBE with a Hubbard U, Alexandria via LeMat-Bulk).

Geometry as POSCAR:
```
SrFe2TeO6
1.0
5.5246 -0.0119 -0.0086
2.7520 4.7776 -0.0296
2.7508 1.5624 4.9644
Sr Fe Te O
1 2 1 6
Direct
0.8069 0.7974 0.5956 Sr
0.5246 0.5235 0.4217 Fe
0.0143 0.0101 0.9587 Fe
0.3225 0.3231 0.0310 Te
0.5650 0.2636 0.2287 O
0.2522 0.9533 0.2324 O
0.9507 0.5787 0.2221 O
0.3601 0.6991 0.7671 O
0.7037 0.1621 0.7776 O
0.1614 0.3508 0.7803 O
```

## Properties
SG   P1 (1)
Raw total energy   -6.207 eV/atom
Total magnetization   8.00 μB/f.u.